A plane-wave DFT calculation with GGA-PBE was carried out for an optimized crystal structure of Y2TaRu.

The offset from the most stable computed form is 0.380 eV per atom. Its formation energy is 1.1 eV/f.u.

The space group is F-43m (No. 216) and the conventional cell measures 6.9373, 6.9373 and 6.9373 Å, with angles of 90.00, 90.00 and 90.00 degrees. The inequivalent atoms are Y at (0.0000, 0.0000, 0.0000), Y at (0.2500, 0.2500, 0.2500), Ta at (0.0000, 0.0000, 0.5000) and Ru at (0.2500, 0.2500, 0.7500).